Computed, not measured: a relaxed NaCoAuO3 crystal at the PBE+U level of DFT.

Unit cell a=11.1132 b=2.9439 c=8.9106 alpha=90.00 beta=90.00 gamma=90.00
Closest atoms and distances in Å follow each position.
Space group Pnma (No. 62)
Asymmetric unit:
Na 0.2488 0.2500 0.1322 (multiplicity 4)  7 O 2.39-2.57
Co 0.0440 0.2500 0.3740 (multiplicity 4)  3 O 1.84-1.99
Au 0.0655 0.2500 0.8754 (multiplicity 4)  3 O 2.07-2.18
O 0.0851 0.2500 0.5736 (multiplicity 4)  1 Co 1.84
O 0.1052 0.7500 0.2454 (multiplicity 4)  2 Co 1.99, 1 Au 2.18
O 0.1937 0.7500 0.9119 (multiplicity 4)  2 Au 2.07

Results
Size of the total moment (μB per formula unit): 3.72
Calculated density (g/cm3): 7.448
Total DFT energy (no corrections) (eV/f.u.): -27.95